Entry 1:
Here is a geometry-optimized TaNb2Rh structure from the Alexandria database. Energies are from GGA-PBE.

Results
Total energy in eV per cell: -40.3
Space-group type: No. 123
Excess energy over the best structure of this formula in the dataset in eV/atom: 0.023
Formation energy in eV/f.u.: -0.91

Geometry as POSCAR:
```
TaNb2Rh
1.0
3.2800 0.0000 0.0000
0.0000 3.2800 0.0000
0.0000 0.0000 6.4189
Ta Nb Rh
1 2 1
Direct
0.0000 0.0000 0.0000
0.5000 0.5000 0.2519
0.5000 0.5000 0.7481
0.0000 0.0000 0.5000
```

***

Entry 2:
Here is a geometry-optimized Hg3Te2Cl2 structure from the Alexandria database. Energies are from GGA-PBE.

Results
Total energy in eV per cell: -13.3
Formation energy without anion corrections in eV/atom: -0.34
Space-group type: No. 2
Excess energy over the best structure of this formula in the dataset in eV/atom: 0.063

Geometry as POSCAR:
```
Hg3Te2Cl2
1.0
5.0671 0.0000 0.0000
-0.5919 7.2274 0.0000
-0.0603 -1.8555 7.0224
Hg Te Cl
3 2 2
Direct
0.0000 0.0000 0.0000
0.0627 0.4541 0.7453
0.9373 0.5459 0.2547
0.3155 0.7342 0.0558
0.6845 0.2658 0.9442
0.2134 0.2936 0.4173
0.7866 0.7064 0.5827
```

***

Entry 3:
Here is a geometry-optimized HfVSi2Ge structure from the Alexandria database. Energies are from GGA-PBE.

Results
Total energy in eV per cell: -31.7
Formation energy without anion corrections in eV/atom: 0.56
Space-group type: No. 123

Geometry as POSCAR:
```
HfVSi2Ge
1.0
4.5659 0.0000 0.0000
0.0000 4.5659 0.0000
0.0000 0.0000 4.8800
Hf V Si Ge
1 1 2 1
Direct
0.0000 0.0000 0.0000
0.0000 0.0000 0.5000
0.0000 0.5000 0.5000
0.5000 0.0000 0.5000
0.5000 0.5000 0.0000
```

***

Entry 4:
Here is a geometry-optimized TePtI2 structure from the Alexandria database. Energies are from GGA-PBE.

Results
Total energy in eV per cell: -23.4
Formation energy without anion corrections in eV/atom: 0.15
Space-group type: No. 141

Geometry as POSCAR:
```
TePtI2
1.0
-5.5198 5.5198 2.6362
5.5198 -5.5198 2.6362
5.5198 5.5198 -2.6362
Te Pt I
2 2 4
Direct
0.3750 0.6250 0.7500
0.6250 0.3750 0.2500
0.1250 0.8750 0.2500
0.8750 0.1250 0.7500
0.0000 0.0000 0.0000
0.0000 0.0000 0.5000
0.0000 0.5000 0.0000
0.5000 0.0000 0.5000
```